5
Lattice="-1.949 1.949 7.464 1.949 -1.949 7.464 1.949 1.949 -7.464" Properties=species:S:1:pos:R:3 comment="PBE+U La2MnF2, relaxed" m_tot_mub_per_cell=3.66 e_tot_ev_per_atom=-6.190 pbc="T T T"
La 0.000 0.000 2.066
La 0.000 0.000 12.861
Mn 0.000 0.000 7.464
F 1.949 0.000 3.732
F 0.000 1.949 3.732